A plane-wave DFT calculation with PBE-GGA was carried out for a relaxed structure of Mn4FeTe.

Computed properties:
Formation energy (no corrections) in eV/atom: 0.417
Symmetry: F-43m (216)
Energy in eV/atom: -7.63

```
Mn4FeTe
1.0
0.000 3.430 3.430
3.430 0.000 3.430
3.430 3.430 0.000
Mn Fe Te
4 1 1
Direct
0.125 0.125 0.125 Mn
0.125 0.125 0.626 Mn
0.125 0.626 0.125 Mn
0.626 0.125 0.125 Mn
0.750 0.750 0.750 Fe
0.500 0.500 0.500 Te
```

=====

A plane-wave DFT calculation with PBE-GGA was carried out for a relaxed structure of MnFeTe.

Computed properties:
Formation energy (no corrections) in eV/atom: 0.410
Distance to the lowest polymorph of the same formula in eV per atom: 0.3726
Symmetry: P3m1 (156)
Energy in eV/atom: -6.51

```
MnFeTe
1.0
4.180 0.000 0.000
-2.090 3.620 0.000
0.000 0.000 3.190
Mn Fe Te
1 1 1
Direct
0.000 0.000 0.000 Mn
0.333 0.667 0.501 Fe
0.667 0.333 0.500 Te
```

=====

A plane-wave DFT calculation with PBE-GGA was carried out for a relaxed structure of Mn2FeTe.

Computed properties:
Formation energy (no corrections) in eV/atom: 0.610
Symmetry: R3m (160)
Energy in eV/atom: -6.88

```
Mn2FeTe
1.0
1.548 0.894 8.194
-1.548 0.894 8.194
0.000 -1.788 8.194
Mn Fe Te
2 1 1
Direct
0.000 0.000 0.000 Mn
0.249 0.249 0.249 Mn
0.743 0.743 0.743 Fe
0.488 0.488 0.488 Te
```

=====

A plane-wave DFT calculation with PBE-GGA was carried out for a relaxed structure of Mn2FeTeW.

Computed properties:
Formation energy (no corrections) in eV/atom: 2.095
Symmetry: P4/mmm (123)
Energy in eV/atom: -6.48

```
Mn2FeTeW
1.0
4.491 0.000 0.000
0.000 4.491 0.000
0.000 0.000 4.420
Mn Fe Te W
2 1 1 1
Direct
0.000 0.500 0.000 Mn
0.500 0.000 0.000 Mn
0.000 0.000 0.500 Fe
0.000 0.000 0.000 Te
0.500 0.500 0.500 W
```

=====

A plane-wave DFT calculation with PBE-GGA was carried out for a relaxed structure of Mn2ZnFeTe.

Computed properties:
Formation energy (no corrections) in eV/atom: 1.360
Symmetry: P4/mmm (123)
Energy in eV/atom: -4.88

```
Mn2ZnFeTe
1.0
4.892 0.000 0.000
0.000 4.892 0.000
0.000 0.000 5.077
Mn Zn Fe Te
2 1 1 1
Direct
0.000 0.500 0.000 Mn
0.500 0.000 0.000 Mn
0.000 0.000 0.500 Zn
0.500 0.500 0.500 Fe
0.000 0.000 0.000 Te
```

=====

A plane-wave DFT calculation with PBE-GGA was carried out for a relaxed structure of Th8Mn2Fe.

Computed properties:
Energy relative to the elements in eV/atom: 0.101
Symmetry: C2/m (12)
Energy in eV/atom: -7.73

```
Th8Mn2Fe
1.0
6.335 -3.428 0.000
6.335 3.428 0.000
-0.332 0.000 6.961
Th Mn Fe
8 2 1
Direct
0.198 0.710 0.759 Th
0.206 0.206 0.888 Th
0.287 0.287 0.392 Th
0.290 0.802 0.241 Th
0.710 0.198 0.759 Th
0.713 0.713 0.608 Th
0.794 0.794 0.112 Th
0.802 0.290 0.241 Th
0.392 0.392 0.066 Mn
0.608 0.608 0.934 Mn
0.500 0.500 0.500 Fe
```

=====

A plane-wave DFT calculation with PBE-GGA was carried out for a relaxed structure of ThMn10Fe2.

Computed properties:
Energy relative to the elements in eV/atom: 0.028
Symmetry: Cmcm (63)
Energy in eV/atom: -8.90

```
ThMn10Fe2
1.0
4.221 -4.832 0.000
4.221 4.832 0.000
0.000 0.000 8.047
Th Mn Fe
2 20 4
Direct
0.118 0.882 0.750 Th
0.882 0.118 0.250 Th
0.128 0.391 0.750 Mn
0.174 0.826 0.108 Mn
0.174 0.826 0.392 Mn
0.232 0.232 0.000 Mn
0.232 0.232 0.500 Mn
0.254 0.483 0.250 Mn
0.391 0.128 0.250 Mn
0.397 0.603 0.570 Mn
0.397 0.603 0.930 Mn
0.483 0.254 0.750 Mn
0.517 0.746 0.250 Mn
0.603 0.397 0.070 Mn
0.603 0.397 0.430 Mn
0.609 0.872 0.750 Mn
0.746 0.517 0.750 Mn
0.768 0.768 0.000 Mn
0.768 0.768 0.500 Mn
0.826 0.174 0.608 Mn
0.826 0.174 0.892 Mn
0.872 0.609 0.250 Mn
0.000 0.500 0.000 Fe
0.000 0.500 0.500 Fe
0.500 0.000 0.000 Fe
0.500 0.000 0.500 Fe
```

=====

A plane-wave DFT calculation with PBE-GGA was carried out for a relaxed structure of ThMnFe.

Computed properties:
Energy relative to the elements in eV/atom: -0.007
Symmetry: Imma (74)
Energy in eV/atom: -8.36

```
ThMnFe
1.0
-2.613 2.654 3.716
2.613 -2.654 3.716
2.613 2.654 -3.716
Th Mn Fe
2 2 2
Direct
0.373 0.123 0.250 Th
0.627 0.877 0.750 Th
0.000 0.500 0.500 Mn
0.500 0.500 0.000 Mn
0.000 0.000 0.500 Fe
0.000 0.500 0.000 Fe
```

=====

A plane-wave DFT calculation with PBE-GGA was carried out for a relaxed structure of ThMnFe4.

Computed properties:
Energy relative to the elements in eV/atom: 0.014
Symmetry: F-43m (216)
Energy in eV/atom: -8.39

```
ThMnFe4
1.0
0.000 3.563 3.563
3.563 0.000 3.563
3.563 3.563 0.000
Th Mn Fe
1 1 4
Direct
0.000 0.000 0.000 Th
0.750 0.750 0.750 Mn
0.376 0.376 0.376 Fe
0.376 0.376 0.872 Fe
0.376 0.872 0.376 Fe
0.872 0.376 0.376 Fe
```

=====

A plane-wave DFT calculation with PBE-GGA was carried out for a relaxed structure of ThMnFe.

Computed properties:
Energy relative to the elements in eV/atom: 0.054
Symmetry: P3m1 (156)
Energy in eV/atom: -8.30

```
ThMnFe
1.0
3.789 0.000 0.000
-1.894 3.281 0.000
0.000 0.000 4.419
Th Mn Fe
1 1 1
Direct
0.000 0.000 0.000 Th
0.333 0.667 0.453 Mn
0.667 0.333 0.548 Fe
```

=====

A plane-wave DFT calculation with PBE-GGA was carried out for a relaxed structure of Th2MnFe.

Computed properties:
Energy relative to the elements in eV/atom: 0.635
Symmetry: R-3m (166)
Energy in eV/atom: -7.48

```
Th2MnFe
1.0
1.875 1.083 9.068
-1.875 1.083 9.068
0.000 -2.165 9.068
Th Mn Fe
2 1 1
Direct
0.110 0.110 0.110 Th
0.890 0.890 0.890 Th
0.000 0.000 0.000 Mn
0.500 0.500 0.500 Fe
```

=====

A plane-wave DFT calculation with PBE-GGA was carried out for a relaxed structure of ThMn9Fe3.

Computed properties:
Energy relative to the elements in eV/atom: 0.020
Symmetry: C2/m (12)
Energy in eV/atom: -8.85

```
ThMn9Fe3
1.0
2.342 -5.953 0.000
2.342 5.953 0.000
-2.274 0.000 5.969
Th Mn Fe
1 9 3
Direct
0.000 0.000 0.000 Th
0.005 0.641 0.640 Mn
0.269 0.503 0.766 Mn
0.359 0.995 0.360 Mn
0.497 0.731 0.234 Mn
0.500 0.500 0.500 Mn
0.503 0.269 0.766 Mn
0.641 0.005 0.640 Mn
0.731 0.497 0.234 Mn
0.995 0.359 0.360 Mn
0.000 0.000 0.500 Fe
0.000 0.500 0.000 Fe
0.500 0.000 0.000 Fe
```